<i>
A geometry-optimized Li6GeIr2 structure, computed with PBE.

Lattice parameters (Å, degrees): 5.0157 5.0157 5.0157 97.40 97.40 97.40
Last column: nearest neighbours and their distance in Å.
Fractional positions:
Li 0.0000 0.3280 0.6720  5 Li 2.47-2.59
Li 0.0000 0.6720 0.3280  5 Li 2.47-2.59
Li 0.3280 0.0000 0.6720  5 Li 2.47-2.59
Li 0.3280 0.6720 0.0000  5 Li 2.47-2.59
Li 0.6720 0.0000 0.3280  5 Li 2.47-2.59
Li 0.6720 0.3280 0.0000  5 Li 2.47-2.59
Ge 0.5000 0.5000 0.5000  2 Ir 2.47
Ir 0.1704 0.1704 0.1704  1 Ge 2.47, 1 Ir 2.55
Ir 0.8296 0.8296 0.8296  1 Ge 2.47, 1 Ir 2.55

SG: No. 166
spin magnetization: 0.00 μB/f.u.
mass density: 6748 kg/m3
D(E_F): 5.35 states/eV per cell

<ii>
A geometry-optimized Li6GeIr2 structure, computed with PBE.

Lattice parameters (Å, degrees): 7.4224 7.4224 2.9626 93.97 93.97 123.45
Last column: nearest neighbours and their distance in Å.
Fractional positions:
Li 0.0024 0.6504 0.6528  1 Li 2.33
Li 0.1849 0.1849 0.8684  2 Ge 2.61-2.68, 5 Li 2.71-2.82
Li 0.3496 0.9976 0.3472  1 Li 2.33
Li 0.6504 0.0024 0.6528  1 Li 2.33
Li 0.8151 0.8151 0.1316  2 Ge 2.61-2.68, 5 Li 2.71-2.82
Li 0.9976 0.3496 0.3472  1 Li 2.33
Ge 0.5000 0.5000 0.5000  4 Ir 2.45, 4 Li 2.61-2.68
Ir 0.3509 0.6491 0.0000  2 Ge 2.45, 4 Li 2.67-2.72
Ir 0.6491 0.3509 0.0000  2 Ge 2.45, 4 Li 2.67-2.72

SG: No. 12
spin magnetization: 0.00 μB/f.u.
mass density: 6147 kg/m3
D(E_F): 3.41 states/eV per cell

Most stable structure, least stable structure: <i>, <ii>.

<i>
A geometry-optimized YMnGe2Ir structure, computed with PBE.

Lattice parameters (Å, degrees): 4.4761 4.4761 4.9768 90.00 90.00 90.00
Last column: nearest neighbours and their distance in Å.
Fractional positions:
Y 0.0000 0.0000 0.0000  2 Mn 2.49
Mn 0.0000 0.0000 0.5000  4 Ge 2.24, 2 Y 2.49
Ge 0.0000 0.5000 0.5000  2 Mn 2.24
Ge 0.5000 0.0000 0.5000  2 Mn 2.24
Ir 0.5000 0.5000 0.0000  4 Y 3.17, 8 Ge 3.35

SG: No. 123
spin magnetization: 1.06 μB/f.u.
mass density: 8016 kg/m3
D(E_F): 5.32 states/eV per cell

<ii>
A geometry-optimized YMnGe2Ir structure, computed with PBE.

Lattice parameters (Å, degrees): 6.0714 6.0714 6.0714 141.01 141.01 56.32
Last column: nearest neighbours and their distance in Å.
Fractional positions:
Y 0.0000 0.0000 0.0000  8 Ge 3.12, 4 Ir 3.36, 4 Mn 3.36
Mn 0.2500 0.7500 0.5000  4 Ge 2.48
Ge 0.3836 0.3836 0.0000  2 Mn 2.48, 2 Ir 2.48, 1 Ge 2.49
Ge 0.6164 0.6164 0.0000  2 Ir 2.48, 2 Mn 2.48, 1 Ge 2.49
Ir 0.7500 0.2500 0.5000  4 Ge 2.48

SG: No. 119
spin magnetization: 3.04 μB/f.u.
mass density: 9094 kg/m3
D(E_F): 3.04 states/eV per cell

Most stable structure, least stable structure: <ii>, <i>.

<i>
A geometry-optimized Ge2MoIr structure, computed with PBE.

Lattice parameters (Å, degrees): 4.3831 4.3831 4.3831 60.00 60.00 60.00
Last column: nearest neighbours and their distance in Å.
Fractional positions:
Ge 0.2500 0.2500 0.2500  4 Ir 2.68, 4 Mo 2.68
Ge 0.7500 0.7500 0.7500  4 Ir 2.68, 4 Mo 2.68
Mo 0.0000 0.0000 0.0000  8 Ge 2.68
Ir 0.5000 0.5000 0.5000  8 Ge 2.68

SG: No. 225
spin magnetization: 0.00 μB/f.u.
mass density: 12088 kg/m3
D(E_F): 2.90 states/eV per cell

<ii>
A geometry-optimized Ge2MoIr structure, computed with PBE.

Lattice parameters (Å, degrees): 9.2839 9.2839 9.2839 18.01 18.01 18.01
Last column: nearest neighbours and their distance in Å.
Fractional positions:
Ge 0.0943 0.0943 0.0943  1 Mo 2.58, 3 Ir 2.60
Ge 0.9057 0.9057 0.9057  1 Mo 2.58, 3 Ir 2.60
Mo 0.0000 0.0000 0.0000  2 Ge 2.58
Ir 0.5000 0.5000 0.5000  6 Ge 2.60, 6 Ir 2.91

SG: No. 166
spin magnetization: 0.00 μB/f.u.
mass density: 10772 kg/m3
D(E_F): 3.14 states/eV per cell

Most stable structure, least stable structure: <i>, <ii>.